# 1
This record from Alexandria via LeMat-Bulk describes a relaxed NbCdCo2O crystal. The functional is PBE+U.

Cell and atoms, written as POSCAR:
```
NbCdCo2O
1.0
4.479 0.000 0.000
0.000 4.479 0.000
0.000 0.000 5.624
Nb Cd Co O
1 1 2 1
direct
0.000 0.000 0.000 Nb
0.000 0.000 0.500 Cd
0.000 0.500 0.000 Co
0.500 0.000 0.000 Co
0.500 0.500 0.500 O
```

Calculated values
The crystal system is tetragonal. Its symmetry is P4/mmm. Its energy is -16.9 eV/cell.


# 2
This record from Alexandria via LeMat-Bulk describes a relaxed NbCdCoO2 crystal. The functional is PBE+U.

Cell and atoms, written as POSCAR:
```
NbCdCoO2
1.0
3.908 0.000 0.000
0.000 3.908 0.000
0.000 0.000 4.825
Nb Cd Co O
1 1 1 2
direct
0.000 0.000 0.000 Nb
0.500 0.500 0.000 Cd
0.500 0.500 0.500 Co
0.000 0.500 0.500 O
0.500 0.000 0.500 O
```

Calculated values
The crystal system is tetragonal. Its symmetry is P4/mmm. Its energy is -24.1 eV/cell.


# 3
This record from Alexandria via LeMat-Bulk describes a relaxed NbCdCo2O crystal. The functional is PBE+U.

Cell and atoms, written as POSCAR:
```
NbCdCo2O
1.0
4.955 0.000 0.000
0.000 4.955 0.000
0.000 0.000 3.947
Nb Cd Co O
1 1 2 1
direct
0.000 0.000 0.000 Nb
0.500 0.500 0.500 Cd
0.000 0.500 0.500 Co
0.500 0.000 0.500 Co
0.500 0.500 0.000 O
```

Calculated values
The crystal system is tetragonal. Its symmetry is P4/mmm. Its energy is -18.9 eV/cell.


# 4
This record from Alexandria via LeMat-Bulk describes a relaxed NbCd2CoO6 crystal. The functional is PBE+U.

Cell and atoms, written as POSCAR:
```
NbCd2CoO6
1.0
5.375 0.000 0.000
0.000 5.469 0.000
-5.365 0.000 7.692
Nb Cd Co O
2 4 2 12
direct
0.000 0.000 0.000 Nb
0.000 0.500 0.500 Nb
0.259 0.039 0.749 Cd
0.259 0.461 0.249 Cd
0.741 0.539 0.751 Cd
0.741 0.961 0.251 Cd
0.500 0.000 0.500 Co
0.500 0.500 0.000 Co
0.164 0.026 0.256 O
0.164 0.474 0.756 O
0.258 0.701 0.049 O
0.258 0.799 0.549 O
0.349 0.210 0.046 O
0.349 0.290 0.546 O
0.651 0.710 0.454 O
0.651 0.790 0.954 O
0.742 0.201 0.451 O
0.742 0.299 0.951 O
0.836 0.526 0.244 O
0.836 0.974 0.744 O
```

Calculated values
The crystal system is monoclinic. Its symmetry is P2_1/c. Its energy is -123.2 eV/cell.